Entry from the Alexandria database: crystalline CeMnZn11 at its relaxed geometry (PBE).

a b c (Å): 5.199 12.631 6.843
angles (deg): 90.00 112.08 90.00
Space group C2/m (No. 12)
One atom of each set of equivalent atoms:
Ce 0.000 0.000 0.000 x2
Mn 0.000 0.500 0.500 x2
Zn 0.000 0.000 0.500 x2
Zn 0.108 0.390 0.221 x8
Zn 0.192 0.174 0.356 x8
Zn 0.250 0.250 0.000 x4

As for the total moment: 7.65 Bohr magnetons per cell. Its formation enthalpy at 0 K is -0.1318 eV per atom.